# 1
First-principles (PBE-GGA) data for AcDy2Ag3 after structural relaxation, as listed in the Alexandria database.

```
AcDy2Ag3
1.0
3.728 0.000 0.000
0.000 3.728 0.000
0.000 0.000 11.290
Ac Dy Ag
1 2 3
Cartesian
1.864 1.864 5.645 Ac
1.864 1.864 9.513 Dy
1.864 1.864 1.777 Dy
0.000 0.000 0.000 Ag
0.000 0.000 7.859 Ag
0.000 0.000 3.431 Ag
```

Properties
The value obtained for the theoretical density is 9.27 g cm⁻³. For the formation enthalpy at 0 K, the calculation gives -0.290 eV per atom. The total magnetization comes out at 0.0 μB/f.u. As for the space group: No. 123. Its calculated total energy is -23.607 eV for the cell shown.

---

# 2
First-principles (PBE-GGA) data for Cs2NdCd2Se4 after structural relaxation, as listed in the Alexandria database.

```
Cs2NdCd2Se4
1.0
4.341 0.000 0.000
0.000 8.843 0.135
-2.170 -3.368 7.897
Cs Nd Cd Se
2 1 2 4
Cartesian
0.000 4.097 2.094 Cs
2.170 1.378 5.938 Cs
0.000 0.000 0.000 Nd
2.170 -1.167 2.940 Cd
0.000 6.642 5.093 Cd
0.000 0.548 2.967 Se
2.170 4.927 5.065 Se
2.170 6.782 0.518 Se
0.000 -1.307 7.515 Se
```

Properties
The value obtained for the theoretical density is 5.17 g cm⁻³. The total magnetization comes out at 0.0 μB/f.u. As for the space group: No. 12. Its calculated total energy is -32.232 eV for the cell shown. The calculation puts the raw formation energy at -1110 meV/atom.

---

# 3
First-principles (PBE-GGA) data for Zn8PdAu2 after structural relaxation, as listed in the Alexandria database.

```
Zn8PdAu2
1.0
-1.003 2.161 -3.502
-6.416 -0.221 1.698
4.330 4.399 3.926
Zn Pd Au
8 1 2
Cartesian
2.141 5.338 1.648 Zn
1.455 4.715 -1.067 Zn
-1.466 1.557 0.426 Zn
-6.478 2.122 -0.329 Zn
-4.717 1.822 1.533 Zn
-1.870 4.230 -0.431 Zn
0.597 4.190 3.944 Zn
-2.492 3.815 2.041 Zn
-2.031 4.089 4.631 Pd
-3.811 2.451 -0.896 Au
0.140 3.709 1.232 Au
```

Properties
The value obtained for the theoretical density is 9.76 g cm⁻³. For the formation enthalpy at 0 K, the calculation gives -0.189 eV per atom. The total magnetization comes out at 0.0 μB/f.u. As for the space group: No. 1. Its calculated total energy is -24.021 eV for the cell shown. The excess energy over the best structure of this formula in the dataset is 0 meV per atom.

---

# 4
First-principles (PBE-GGA) data for GaPbBrCl2 after structural relaxation, as listed in the Alexandria database.

```
GaPbBrCl2
1.0
-2.414 -3.907 0.019
6.815 -4.215 -0.808
-4.083 2.571 9.993
Ga Pb Br Cl
2 2 2 4
Cartesian
-0.779 -0.846 4.643 Ga
1.098 -4.705 4.561 Ga
1.249 -2.120 0.284 Pb
-0.930 -3.430 8.920 Pb
5.441 -4.709 0.549 Br
-5.123 -0.841 8.655 Br
-0.957 -3.429 5.805 Cl
1.275 -2.121 3.399 Cl
1.534 -4.991 1.092 Cl
-1.215 -0.559 8.112 Cl
```

Properties
The value obtained for the theoretical density is 4.06 g cm⁻³. The total magnetization comes out at 0.0 μB/f.u. As for the space group: No. 11. Its calculated total energy is -33.104 eV for the cell shown. The calculation puts the raw formation energy at -890 meV/atom.

---

# 5
First-principles (PBE-GGA) data for Sc2HgSe2 after structural relaxation, as listed in the Alexandria database.

```
Sc2HgSe2
1.0
7.882 0.000 0.000
0.000 7.882 0.000
0.000 0.000 3.410
Sc Hg Se
4 2 4
Cartesian
1.185 5.126 1.705 Sc
5.126 6.696 1.705 Sc
6.696 2.756 1.705 Sc
2.756 1.185 1.705 Sc
0.000 0.000 0.000 Hg
3.941 3.941 0.000 Hg
2.839 6.780 0.000 Se
6.780 5.043 0.000 Se
5.043 1.102 0.000 Se
1.102 2.839 0.000 Se
```

Properties
The value obtained for the theoretical density is 7.03 g cm⁻³. The total magnetization comes out at 0.0 μB/f.u. As for the space group: No. 127. Its calculated total energy is -49.691 eV for the cell shown. The calculation puts the raw formation energy at -982 meV/atom. The excess energy over the best structure of this formula in the dataset is 80 meV per atom.

---

# 6
First-principles (PBE-GGA) data for KIn2Ru after structural relaxation, as listed in the Alexandria database.

```
KIn2Ru
1.0
5.673 0.038 0.000
2.221 5.220 0.000
-3.947 -2.629 3.113
In K Ru
2 1 1
Cartesian
0.000 0.000 0.000 In
1.111 2.610 1.556 In
3.947 2.629 0.000 K
2.836 0.019 1.556 Ru
```

Properties
The value obtained for the theoretical density is 6.68 g cm⁻³. For the formation enthalpy at 0 K, the calculation gives 0.664 eV per atom. The total magnetization comes out at 0.2 μB/f.u. As for the space group: No. 119. Its calculated total energy is -13.193 eV for the cell shown. The excess energy over the best structure of this formula in the dataset is 561 meV per atom.

---

# 7
First-principles (PBE-GGA) data for YTaCo2Re after structural relaxation, as listed in the Alexandria database.

```
YTaCo2Re
1.0
4.374 0.000 0.000
0.000 4.982 0.000
0.000 0.000 4.374
Y Re Co Ta
1 1 2 1
Cartesian
0.000 0.000 0.000 Y
0.000 2.491 0.000 Re
0.000 0.000 2.187 Co
2.187 0.000 0.000 Co
2.187 2.491 2.187 Ta
```

Properties
The value obtained for the theoretical density is 10.00 g cm⁻³. For the formation enthalpy at 0 K, the calculation gives 2.040 eV per atom. The total magnetization comes out at 1.5 μB/f.u. As for the space group: No. 123. Its calculated total energy is -34.775 eV for the cell shown.

---

# 8
First-principles (PBE-GGA) data for SmY3Er6Tm2 after structural relaxation, as listed in the Alexandria database.

```
SmY3Er6Tm2
1.0
6.108 0.003 0.001
-3.051 5.292 0.001
-1.017 -1.762 11.527
Sm Y Er Tm
1 3 6 2
Cartesian
0.000 0.000 0.000 Sm
-2.030 3.528 5.765 Y
4.070 0.005 5.765 Y
1.020 1.767 5.765 Y
3.057 1.764 8.660 Er
2.039 3.530 2.868 Er
-1.017 1.769 2.869 Er
0.000 3.529 8.660 Er
0.002 0.003 8.661 Er
2.041 0.004 2.869 Er
0.002 3.529 0.001 Tm
3.056 1.765 0.001 Tm
```

Properties
The value obtained for the theoretical density is 7.83 g cm⁻³. For the formation enthalpy at 0 K, the calculation gives 0.024 eV per atom. The total magnetization comes out at 0.0 μB/f.u. As for the space group: No. 12. Its calculated total energy is -60.139 eV for the cell shown.